The following is a PBE+U calculation of a geometry-optimized MnAl2F2 structure, from the Alexandria database.

Unit cell a=6.854 b=6.854 c=6.854 alpha=152.65 beta=152.65 gamma=39.06
Atoms (fractional coordinates):
Mn 0.000 0.000 0.000
Al 0.362 0.362 0.000
Al 0.638 0.638 0.000
F 0.250 0.750 0.500
F 0.750 0.250 0.500

Summary:
V	13.57	Å³/atom
uncorrected energy	-4.89	eV/atom
ΔE to the lowest computed polymorph	0	meV per atom